Compound: InSbPCl2
Source: Alexandria via LeMat-Bulk
Functional: meta-GGA SCAN
Structure: single point on PBEsol structure

Results
raw formation energy: -5 kJ/mol of atoms
M_tot: 0.477 μB/f.u.

a = 5.305 Å, b = 5.305 Å, c = 4.999 Å
α = 90.00°, β = 90.00°, γ = 90.00°
Space group P4/mmm (No. 123)
One atom of each set of equivalent atoms:
In1 0.000 0.000 0.000 x1
Sb1 0.500 0.500 0.500 x1
P1 0.500 0.500 0.000 x1
Cl1 0.000 0.500 0.500 x2